(1)
The following is a DFT calculation (GGA-PBE) of a relaxed structure of Sr2MgCu.

- total magnetic moment (μB/f.u.) = 0.00
- formation energy (meV/atom) = 217

Cell: 7.7108 7.7108 7.7108 Å, 90.00 90.00 90.00°
Space group F-43m (No. 216)
Inequivalent atoms, fractional coordinates:
Sr1 0.0000 0.0000 0.0000 (multiplicity 4)
Sr2 0.2500 0.2500 0.2500 (multiplicity 4)
Mg1 0.2500 0.2500 0.7500 (multiplicity 4)
Cu1 0.0000 0.0000 0.5000 (multiplicity 4)



(2)
The following is a DFT calculation (GGA-PBE) of a relaxed structure of La3Ir.

- total magnetic moment (μB/f.u.) = 0.00
- formation energy (meV/atom) = -366

Cell: 5.9281 11.8207 4.1347 Å, 90.00 90.00 90.00°
Space group Cmmm (No. 65)
Inequivalent atoms, fractional coordinates:
La1 0.0000 0.0000 0.0000 (multiplicity 2)
La2 0.0000 0.3387 0.5000 (multiplicity 4)
Ir1 0.0000 0.5000 0.0000 (multiplicity 2)



no.,D(E_F) (states/eV per cell)
1,14.92
2,10.21